Entry 1:
LaTl2Sb: optimized geometry, GGA-PBE. Values from VASP.

Output
The polymorph energy (0 for the lowest one) comes out at 184 kJ/mol of formula units. The symmetry is R-3m. For the uncorrected formation energy, the calculation gives -4 kJ per mole of atoms. The density of states at the Fermi level comes out at 0.890 states/eV/atom.

Quantum ESPRESSO input file:
```
&SYSTEM
  ibrav = 0, nat = 4, ntyp = 3
/
ATOMIC_SPECIES
La 138.91 La.upf
Tl 204.38 Tl.upf
Sb 121.76 Sb.upf
CELL_PARAMETERS angstrom
1.8629 1.0755 10.2325
-1.8629 1.0755 10.2325
0.0000 -2.1511 10.2325
ATOMIC_POSITIONS crystal
La 0.0000 0.0000 0.0000
Tl 0.2437 0.2437 0.2437
Tl 0.7563 0.7563 0.7563
Sb 0.5000 0.5000 0.5000
```

Entry 2:
LaTl2Sb: optimized geometry, GGA-PBE. Values from VASP.

Output
The polymorph energy (0 for the lowest one) comes out at 16 kJ/mol of formula units. The symmetry is Imm2. For the uncorrected formation energy, the calculation gives -46 kJ per mole of atoms. The density of states at the Fermi level comes out at 0.178 states/eV/atom.

Quantum ESPRESSO input file:
```
&SYSTEM
  ibrav = 0, nat = 4, ntyp = 3
/
ATOMIC_SPECIES
La 138.91 La.upf
Tl 204.38 Tl.upf
Sb 121.76 Sb.upf
CELL_PARAMETERS angstrom
-2.4152 2.4176 5.0310
2.4152 -2.4176 5.0310
2.4152 2.4176 -5.0310
ATOMIC_POSITIONS crystal
La 0.0000 0.0000 0.0000
Tl 0.4988 0.4988 0.0000
Tl 0.7496 0.2496 0.5000
Sb 0.2499 0.7499 0.5000
```

Entry 3:
LaTlSb4: optimized geometry, GGA-PBE. Values from VASP.

Output
The symmetry is F-43m. For the uncorrected formation energy, the calculation gives -22 kJ per mole of atoms. The density of states at the Fermi level comes out at 0.903 states/eV/atom.

Quantum ESPRESSO input file:
```
&SYSTEM
  ibrav = 0, nat = 6, ntyp = 3
/
ATOMIC_SPECIES
La 138.91 La.upf
Tl 204.38 Tl.upf
Sb 121.76 Sb.upf
CELL_PARAMETERS angstrom
0.0000 4.4890 4.4890
4.4890 0.0000 4.4890
4.4890 4.4890 0.0000
ATOMIC_POSITIONS crystal
La 0.0000 0.0000 0.0000
Tl 0.2500 0.2500 0.2500
Sb 0.1269 0.6244 0.6244
Sb 0.6244 0.1269 0.6244
Sb 0.6244 0.6244 0.1269
Sb 0.6244 0.6244 0.6244
```